Na2LiSi2 (PBE, relaxed); density of states at the Fermi level = 0.34 states/eV per atom; energy = -2.83 eV/atom; ΔE_f (raw) = 246 meV/atom; calculated density = 1.6 g/cm3; symmetry = No. 127; M_tot = 0.00 Bohr magnetons per cell
1.0
8.3250 0.0000 0.0000
0.0000 8.3250 0.0000
0.0000 0.0000 3.1923
Na Li Si
4 2 4
Direct
0.1939 0.3061 0.0000
0.3061 0.8061 0.0000
0.6939 0.1939 0.0000
0.8061 0.6939 0.0000
0.0000 0.0000 0.0000
0.5000 0.5000 0.0000
0.0975 0.5975 0.5000
0.4025 0.0975 0.5000
0.5975 0.9025 0.5000
0.9025 0.4025 0.5000